! ZnCoSb2F | Alexandria via LeMat-Bulk | PBE+U | relaxed; values from VASP
! * density: 5.3 g cm⁻³
! * energy: -13.74 eV per cell
! * crystal system: tetragonal
! * density of states at the Fermi level: 3.67 states/eV/cell
&SYSTEM
  ibrav = 0, nat = 5, ntyp = 4
/
ATOMIC_SPECIES
Zn 65.41 Zn.upf
Co 58.93 Co.upf
Sb 121.76 Sb.upf
F 19.00 F.upf
CELL_PARAMETERS angstrom
5.111 0.000 0.000
0.000 5.111 0.000
0.000 0.000 4.608
ATOMIC_POSITIONS angstrom
Zn 0.000 0.000 0.000
Co 0.000 0.000 2.304
Sb 0.000 2.555 0.000
Sb 2.555 0.000 0.000
F 2.555 2.555 2.304